# 1
Here is an optimized crystal structure of Ac2ReAgO8 from Alexandria via LeMat-Bulk. Energies are from PBE.

As for the formation energy (no corrections): -2.026 eV/atom.

It has space group P-1 (No. 2), with a = 4.494 Å, b = 5.506 Å, c = 7.289 Å, α = 83.64°, β = 86.58° and γ = 83.48°. The distinct sites, in fractional coordinates, are Ac at (0.190, 0.015, 0.245), Re at (0.500, 0.500, 0.500), Ag at (0.500, 0.500, 0.000), O at (0.196, 0.743, 0.557), O at (0.282, 0.841, 0.940), O at (0.298, 0.250, 0.625) and O at (0.303, 0.477, 0.263).

# 2
Here is an optimized crystal structure of AcReAg2O8 from Alexandria via LeMat-Bulk. Energies are from PBE.

As for the formation energy (no corrections): -0.862 eV/atom.

It has space group P-3m1 (No. 164), with a = 5.9880 Å, b = 5.9880 Å, c = 6.4134 Å, α = 90.00°, β = 90.00° and γ = 120.00°. The distinct sites, in fractional coordinates, are Ac at (0.0000, 0.0000, 0.0000), Re at (0.0000, 0.0000, 0.5000), Ag at (0.3333, 0.6667, 0.5019), O at (0.1461, 0.2923, 0.6805) and O at (0.3333, 0.6667, 0.1898).

# 3
Here is an optimized crystal structure of AcAg2RhO4 from Alexandria via LeMat-Bulk. Energies are from PBE.

As for the formation energy (no corrections): -1.025 eV/atom.

It has space group I222 (No. 23), with a = 6.478 Å, b = 6.845 Å, c = 6.864 Å, α = 90.00°, β = 90.00° and γ = 90.00°. The distinct sites, in fractional coordinates, are Ac at (0.000, 0.000, 0.000), Ag at (0.000, 0.500, 0.292), Rh at (0.000, 0.000, 0.500) and O at (0.001, 0.198, 0.291).

# 4
Here is an optimized crystal structure of Ac2AgRh3O8 from Alexandria via LeMat-Bulk. Energies are from PBE.

As for the formation energy (no corrections): -1.509 eV/atom.

It has space group R3m (No. 160, hexagonal axes), with a = 6.5871 Å, b = 6.5871 Å, c = 17.9189 Å, α = 90.00°, β = 90.00° and γ = 120.00°. The distinct sites, in fractional coordinates, are Ac at (0.0000, 0.0000, 0.0000), Ac at (0.0000, 0.0000, 0.4867), Ag at (0.0000, 0.0000, 0.6665), Rh at (0.1707, 0.3413, 0.8411), O at (0.0000, 0.0000, 0.2269), O at (0.0000, 0.0000, 0.7887), O at (0.0592, 0.5296, 0.7754) and O at (0.1778, 0.3556, 0.5705).

# 5
Here is an optimized crystal structure of Ac2AgRhO6 from Alexandria via LeMat-Bulk. Energies are from PBE.

As for the formation energy (no corrections): -1.914 eV/atom.

It has space group R-3 (No. 148, hexagonal axes), with a = 6.0976 Å, b = 6.0976 Å, c = 13.6203 Å, α = 90.00°, β = 90.00° and γ = 120.00°. The distinct sites, in fractional coordinates, are Ac at (0.0000, 0.0000, 0.2430), Ag at (0.0000, 0.0000, 0.5000), Rh at (0.0000, 0.0000, 0.0000) and O at (0.0410, 0.4244, 0.7511).

# 6
Here is an optimized crystal structure of AcAg3Rh4O12 from Alexandria via LeMat-Bulk. Energies are from PBE.

As for the formation energy (no corrections): -0.865 eV/atom.

It has space group Im-3 (No. 204), with a = 7.791 Å, b = 7.791 Å, c = 7.791 Å, α = 90.00°, β = 90.00° and γ = 90.00°. The distinct sites, in fractional coordinates, are Ac at (0.000, 0.000, 0.000), Ag at (0.000, 0.000, 0.500), Rh at (0.250, 0.250, 0.250) and O at (0.000, 0.294, 0.177).

# 7
Here is an optimized crystal structure of Ac5Ag2RhO from Alexandria via LeMat-Bulk. Energies are from PBE.

As for the formation energy (no corrections): -0.891 eV/atom.

It has space group Cmc2_1 (No. 36), with a = 4.282 Å, b = 19.235 Å, c = 14.239 Å, α = 90.00°, β = 90.00° and γ = 90.00°. The distinct sites, in fractional coordinates, are Ac at (0.000, 0.000, 0.000), Ac at (0.000, 0.144, 0.243), Ac at (0.000, 0.194, 0.608), Ac at (0.000, 0.206, 0.897), Ac at (0.000, 0.452, 0.233), Ag at (0.000, 0.376, 0.562), Ag at (0.000, 0.380, 0.926), Rh at (0.000, 0.294, 0.253) and O at (0.000, 0.060, 0.650).

# 8
Here is an optimized crystal structure of Ac5Ag2RuO from Alexandria via LeMat-Bulk. Energies are from PBE.

As for the formation energy (no corrections): -0.781 eV/atom.

It has space group Cmc2_1 (No. 36), with a = 4.310 Å, b = 19.106 Å, c = 14.167 Å, α = 90.00°, β = 90.00° and γ = 90.00°. The distinct sites, in fractional coordinates, are Ac at (0.000, 0.000, 0.000), Ac at (0.000, 0.146, 0.244), Ac at (0.000, 0.195, 0.610), Ac at (0.000, 0.207, 0.896), Ac at (0.000, 0.450, 0.232), Ag at (0.000, 0.377, 0.560), Ag at (0.000, 0.382, 0.925), Ru at (0.000, 0.293, 0.255) and O at (0.000, 0.059, 0.649).

- Which of these has the highest formation energy (no corrections)?
  Ac5Ag2RuO

- Which value of formation energy (no corrections) does entry 2 give?
  -0.862 eV/atom

- What is the formula in the second record?
  AcReAg2O8